Compound: SbPd3Ru
Source: the Alexandria database
Functional: GGA-PBEsol
Structure: relaxed

Lattice parameters (Å, degrees): 4.7764 4.7764 4.7764 90.00 90.00 90.00
With the nearest neighbours (Å) after each atom.
Space group Pm-3m (No. 221)
Asymmetric unit:
Sb  0.0000  0.0000  0.0000  6 Pd 2.39
Pd  0.0000  0.0000  0.5000  2 Sb 2.39
Ru  0.5000  0.5000  0.5000  12 Pd 3.38

## Properties
- E_tot (eV/atom) = -5.28
- DOS(E_F) (states/eV per cell) = 5.7

---

Compound: SrBeRe2
Source: the Alexandria database
Functional: GGA-PBEsol
Structure: relaxed

Lattice parameters (Å, degrees): 3.7952 3.7952 4.7226 90.00 90.00 90.00
With the nearest neighbours (Å) after each atom.
Space group P4/mmm (No. 123)
Asymmetric unit:
Sr  0.0000  0.0000  0.0000  4 Be 2.68
Be  0.5000  0.5000  0.0000  4 Sr 2.68
Re  0.0000  0.5000  0.5000  4 Re 2.68

## Properties
- E_tot (eV/atom) = -6.92
- calculated formation energy (eV/f.u.) = 4.82
- DOS(E_F) (states/eV per cell) = 3.5

---

Compound: BaMn2
Source: the Alexandria database
Functional: GGA-PBEsol
Structure: relaxed

Lattice parameters (Å, degrees): 8.0742 8.0742 8.0742 90.00 90.00 90.00
With the nearest neighbours (Å) after each atom.
Space group Fd-3m (No. 227, origin choice 2)
Asymmetric unit:
Ba  0.1250  0.1250  0.1250  12 Mn 3.35, 4 Ba 3.50
Mn  0.0000  0.0000  0.5000  6 Mn 2.85

## Properties
- E_tot (eV/atom) = -6.29
- calculated formation energy (eV/f.u.) = 2.80
- DOS(E_F) (states/eV per cell) = 53.8

---

Compound: Co3As5
Source: the Alexandria database
Functional: GGA-PBEsol
Structure: relaxed

Lattice parameters (Å, degrees): 6.4337 9.6733 3.8314 90.00 90.00 90.00
With the nearest neighbours (Å) after each atom.
Space group Cmmm (No. 65)
Asymmetric unit:
Co  0.0000  0.0000  0.0000  4 As 2.38, 4 Co 2.65
Co  0.0000  0.1893  0.5000  6 As 2.31-2.57
As  0.0000  0.5000  0.0000  8 As 2.63-2.90
As  0.2188  0.0000  0.5000  4 Co 2.31-2.38
As  0.2500  0.2500  0.0000  4 Co 2.57

## Properties
- E_tot (eV/atom) = -5.93
- calculated formation energy (eV/f.u.) = 1.34
- DOS(E_F) (states/eV per cell) = 7.9

---

Compound: Zn2Pb
Source: the Alexandria database
Functional: GGA-PBEsol
Structure: relaxed

Lattice parameters (Å, degrees): 3.3876 18.3653 3.9495 90.00 90.00 90.00
With the nearest neighbours (Å) after each atom.
Space group Cmcm (No. 63)
Asymmetric unit:
Zn  0.0000  0.0481  0.2500  8 Zn 2.62-2.68
Zn  0.0000  0.4348  0.2500  6 Zn 2.62-2.68
Pb  0.0000  0.3162  0.7500  4 Zn 2.94-3.01

## Properties
- E_tot (eV/atom) = -2.28
- calculated formation energy (eV/f.u.) = 0.31
- DOS(E_F) (states/eV per cell) = 4.3

---

Compound: EuMg2
Source: the Alexandria database
Functional: GGA-PBEsol
Structure: relaxed

Lattice parameters (Å, degrees): 6.2094 6.2094 10.0489 90.00 90.00 120.00
With the nearest neighbours (Å) after each atom.
Space group P6_3/mmc (No. 194)
Asymmetric unit:
Eu  0.3333  0.6667  0.0608  12 Mg 3.59-3.64, 4 Eu 3.79-3.80
Mg  0.0000  0.0000  0.0000  6 Mg 3.10
Mg  0.1684  0.3367  0.7500  6 Mg 3.07-3.14

## Properties
- E_tot (eV/atom) = -4.79
- calculated formation energy (eV/f.u.) = -0.36
- DOS(E_F) (states/eV per cell) = 25.6

---

Compound: MoAsSe2N
Source: the Alexandria database
Functional: GGA-PBEsol
Structure: relaxed

Lattice parameters (Å, degrees): 4.8391 4.8391 4.8653 90.00 90.00 90.00
With the nearest neighbours (Å) after each atom.
Space group P4/mmm (No. 123)
Asymmetric unit:
Mo  0.0000  0.0000  0.0000  4 Se 2.42, 2 As 2.43
As  0.0000  0.0000  0.5000  2 Mo 2.43
Se  0.0000  0.5000  0.0000  2 Mo 2.42
N  0.5000  0.5000  0.5000  4 As 3.42, 8 Se 3.43

## Properties
- E_tot (eV/atom) = -5.36
- DOS(E_F) (states/eV per cell) = 3.8

---

Compound: MnCdTe2
Source: the Alexandria database
Functional: GGA-PBEsol
Structure: relaxed

Lattice parameters (Å, degrees): 12.0463 3.8633 4.8309 90.00 105.57 90.00
With the nearest neighbours (Å) after each atom.
Space group Cm (No. 8)
Asymmetric unit:
Mn  0.0000  0.0000  0.0000  4 Te 2.59-2.66, 1 Cd 2.69
Cd  0.1244  0.0000  0.6143  2 Mn 2.69-2.94, 1 Te 2.94
Te  0.1561  0.5000  0.1606  2 Mn 2.66
Te  0.3762  0.0000  0.7167  2 Mn 2.59

## Properties
- E_tot (eV/atom) = -4.46
- DOS(E_F) (states/eV per cell) = 2.0

---

Compound: GdTe2
Source: the Alexandria database
Functional: GGA-PBEsol
Structure: relaxed

Lattice parameters (Å, degrees): 4.3888 4.3888 8.7959 90.00 90.00 90.00
With the nearest neighbours (Å) after each atom.
Space group P4/nmm (No. 129, origin choice 2)
Asymmetric unit:
Gd  0.2500  0.2500  0.2295  9 Te 3.17-3.24
Te  0.2500  0.2500  0.8693  5 Gd 3.17-3.22
Te  0.2500  0.7500  0.5000  4 Te 3.10, 4 Gd 3.24

## Properties
- E_tot (eV/atom) = -8.43
- DOS(E_F) (states/eV per cell) = 3.7

---

Compound: ZrScCo2
Source: the Alexandria database
Functional: GGA-PBEsol
Structure: relaxed

Lattice parameters (Å, degrees): 6.2160 6.2160 6.2160 90.00 90.00 90.00
With the nearest neighbours (Å) after each atom.
Space group Fm-3m (No. 225)
Asymmetric unit:
Zr  0.0000  0.0000  0.0000  8 Co 2.69
Sc  0.0000  0.0000  0.5000  8 Co 2.69
Co  0.2500  0.2500  0.2500  4 Sc 2.69, 4 Zr 2.69

## Properties
- E_tot (eV/atom) = -8.14
- calculated formation energy (eV/f.u.) = -1.40
- DOS(E_F) (states/eV per cell) = 11.0

---

Compound: Fe4ReTc
Source: the Alexandria database
Functional: GGA-PBEsol
Structure: relaxed

Lattice parameters (Å, degrees): 6.4971 6.4971 6.4971 90.00 90.00 90.00
With the nearest neighbours (Å) after each atom.
Space group F-43m (No. 216)
Asymmetric unit:
Fe  0.1249  0.1249  0.1249  6 Fe 2.30
Re  0.0000  0.0000  0.5000  12 Fe 2.69, 4 Tc 2.81
Tc  0.2500  0.2500  0.7500  12 Fe 2.69, 4 Re 2.81

## Properties
- E_tot (eV/atom) = -10.11
- calculated formation energy (eV/f.u.) = -0.20
- DOS(E_F) (states/eV per cell) = 23.3

---

Compound: NaMnPCl2
Source: the Alexandria database
Functional: GGA-PBEsol
Structure: relaxed

Lattice parameters (Å, degrees): 4.9574 4.9574 4.4201 90.00 90.00 90.00
With the nearest neighbours (Å) after each atom.
Space group P4/mmm (No. 123)
Asymmetric unit:
Na  0.0000  0.0000  0.0000  8 Cl 3.32, 4 P 3.51
Mn  0.5000  0.5000  0.5000  2 P 2.21
P  0.5000  0.5000  0.0000  2 Mn 2.21
Cl  0.0000  0.5000  0.5000  2 Mn 2.48

## Properties
- E_tot (eV/atom) = -4.70
- DOS(E_F) (states/eV per cell) = 1.9

---

Number 9 is which compound? GdTe2